1.
Computed, not measured: crystalline Pu2CrMo2C4 at its relaxed geometry at the PBE-GGA level of DFT.

The structure belongs to space group C2/m (No. 12); the cell edges are 12.570, 3.179 and 5.664 Å and the angles 90.00°, 98.12° and 90.00°. The inequivalent atoms are Pu at (0.121, 0.000, 0.036), Cr at (0.000, 0.000, 0.500), Mo at (0.163, 0.500, 0.548), C at (0.002, 0.500, 0.731) and C at (0.250, 0.000, 0.751).

Its formation energy is -0.05 eV per atom.

2.
Computed, not measured: crystalline La2ZnPt at its relaxed geometry at the PBE-GGA level of DFT.

The structure belongs to space group R-3m (No. 166, hexagonal axes); the cell edges are 4.1818, 4.1818 and 23.4509 Å and the angles 90.00°, 90.00° and 120.00°. The inequivalent atoms are La at (0.0000, 0.0000, 0.2396), Zn at (0.0000, 0.0000, 0.0000) and Pt at (0.0000, 0.0000, 0.5000).

Its formation energy is -0.64 eV per atom.

3.
Computed, not measured: crystalline Fe2BiIr2 at its relaxed geometry at the PBE-GGA level of DFT.

The structure belongs to space group I4/mmm (No. 139); the cell edges are 3.881, 3.881 and 11.061 Å and the angles 90.00°, 90.00° and 90.00°. The inequivalent atoms are Fe at (0.000, 0.500, 0.250), Bi at (0.000, 0.000, 0.000) and Ir at (0.000, 0.000, 0.382).

As for the energy above the most stable polymorph in this dataset: 0.216 eV/f.u. Its formation energy is 0.55 eV per atom.

4.
Computed, not measured: crystalline Ba2ZrAg at its relaxed geometry at the PBE-GGA level of DFT.

The structure belongs to space group Fm-3m (No. 225); the cell edges are 8.294, 8.294 and 8.294 Å and the angles 90.00°, 90.00° and 90.00°. The inequivalent atoms are Ba at (0.250, 0.250, 0.250), Zr at (0.000, 0.000, 0.000) and Ag at (0.000, 0.000, 0.500).

As for the energy above the most stable polymorph in this dataset: 1.446 eV/f.u. Its formation energy is 0.59 eV per atom.

5.
Computed, not measured: crystalline Cs4HgGe3Br12 at its relaxed geometry at the PBE-GGA level of DFT.

The structure belongs to space group Im-3m (No. 229); the cell edges are 11.244, 11.244 and 11.244 Å and the angles 90.00°, 90.00° and 90.00°. The inequivalent atoms are Cs at (0.250, 0.250, 0.250), Hg at (0.000, 0.000, 0.000), Ge at (0.000, 0.000, 0.500), Br at (0.000, 0.000, 0.254) and Br at (0.000, 0.250, 0.500).

The uncorrected energy is -118.1 eV for the cell shown.

6.
Computed, not measured: crystalline TaAgPt3 at its relaxed geometry at the PBE-GGA level of DFT.

The structure belongs to space group Pm-3m (No. 221); the cell edges are 4.882, 4.882 and 4.882 Å and the angles 90.00°, 90.00° and 90.00°. The inequivalent atoms are Ta at (0.000, 0.000, 0.000), Ag at (0.500, 0.500, 0.500) and Pt at (0.000, 0.000, 0.500).

As for the energy above the most stable polymorph in this dataset: 0.000 eV/f.u. Its formation energy is 0.84 eV per atom.

> Which formula does entry 2 have?

La2ZnPt